YHoAsSe: optimized geometry, PBE-GGA.

POSCAR file:
```
YHoAsSe
1.0
4.025 -0.001 0.000
-2.012 3.486 0.000
-2.012 -1.161 7.050
As Y Se Ho
1 1 1 1
direct
0.307 0.552 0.874
0.483 0.139 0.638
0.966 0.381 0.361
0.122 0.959 0.097
```

ΔE_f (raw), eV/atom: -1.6384
DOS(E_F), states/eV/f.u.: 2.6